# 1
DFT (PBE) results for a geometry-optimized PrPuAgSb structure.

Results
Formation energy (no corrections) ... -0.44 eV/atom

a = 5.368 Å, b = 5.368 Å, c = 5.368 Å
α = 60.00°, β = 60.00°, γ = 60.00°
Sites, in units of the cell vectors:
Sb 0.500 0.500 0.500
Pr 0.250 0.250 0.250
Pu 0.750 0.750 0.750
Ag 0.000 0.000 0.000

# 2
DFT (PBE) results for a geometry-optimized LiPr2OsO6 structure.

Results
Formation energy (no corrections) ... -2.38 eV/atom

a = 5.856 Å, b = 5.512 Å, c = 9.551 Å
α = 55.26°, β = 90.00°, γ = 90.00°
Sites, in units of the cell vectors:
Li 0.000 0.000 0.000
O 0.213 0.265 0.053
Li 0.500 0.000 0.500
Pr 0.432 0.768 0.249
Os 0.500 0.500 0.000
O 0.531 0.353 0.243
O 0.031 0.647 0.257
O 0.469 0.647 0.757
O 0.313 0.841 0.953
O 0.813 0.159 0.547
O 0.687 0.159 0.047
Pr 0.068 0.768 0.749
O 0.287 0.265 0.553
O 0.187 0.841 0.453
O 0.969 0.353 0.743
Pr 0.932 0.232 0.251
O 0.787 0.735 0.947
O 0.713 0.735 0.447
Os 0.000 0.500 0.500
Pr 0.568 0.232 0.751

# 3
DFT (PBE) results for a geometry-optimized Li2PaIn9 structure.

Results
E_form ... -10.84 kJ per mole of atoms

a = 4.556 Å, b = 4.556 Å, c = 13.956 Å
α = 90.00°, β = 90.00°, γ = 90.00°
Sites, in units of the cell vectors:
In 0.500 0.000 0.827
In 0.500 0.000 0.500
In 0.000 0.500 0.827
In 0.000 0.500 0.173
In 0.000 0.500 0.500
In 0.500 0.500 0.666
In 0.500 0.500 0.000
Li 0.000 0.000 0.673
In 0.500 0.000 0.173
In 0.500 0.500 0.334
Pa 0.000 0.000 0.000
Li 0.000 0.000 0.327

# 4
DFT (PBE) results for a geometry-optimized NaInGaCl3 structure.

Results
Formation energy (no corrections) ... -1.04 eV/atom

a = 6.979 Å, b = 7.416 Å, c = 8.173 Å
α = 63.02°, β = 82.80°, γ = 73.96°
Sites, in units of the cell vectors:
Cl 0.518 0.146 0.143
Cl 0.482 0.854 0.857
Cl 0.982 0.710 0.143
Ga 0.250 0.564 0.873
In 0.250 0.234 0.531
Ga 0.750 0.436 0.127
In 0.750 0.766 0.469
Na 0.250 0.937 0.126
Cl 0.250 0.749 0.501
Cl 0.750 0.251 0.499
Cl 0.018 0.290 0.857
Na 0.750 0.063 0.874

Number 1: volume 27.34 Å³ per atom, uncorrected energy -6.962 eV/atom, total magnetization 1.7496 μB/atom. Number 2: volume 12.67 Å³ per atom, uncorrected energy -7.630 eV/atom, total magnetization 0.3001 μB/atom. Number 3: volume 24.14 Å³ per atom, uncorrected energy -3.277 eV/atom, total magnetization 0.0770 μB/atom. Number 4: volume 30.19 Å³ per atom, uncorrected energy -3.144 eV/atom, total magnetization 0.0000 μB/atom.